The following is a GGA-PBE calculation of a geometry-optimized AgMoBr2 structure, from the Alexandria database.

Unit cell a=3.2452 b=3.2452 c=31.8951 alpha=90.00 beta=90.00 gamma=120.00
Last column: nearest neighbours and their distance in Å.
Space group R-3m (No. 166, hexagonal axes)
Symmetry-distinct sites (fractional):
Ag1 0.0000 0.0000 0.0000 x3  6 Ag 3.25, 2 Br 3.48
Mo1 0.0000 0.0000 0.5000 x3  6 Br 2.62
Br1 0.0000 0.0000 0.1091 x6  3 Mo 2.62

Summary:
Its density of states at the Fermi level is 6.43 states/eV/cell. The raw formation energy comes out at 186 meV/atom. For the volume, the calculation gives 290.9 Å³ per cell. For the excess energy over the best structure of this formula in the dataset, the calculation gives 0.17 eV/f.u.

The following is a GGA-PBE calculation of a geometry-optimized Sm12Er7Th structure, from the Alexandria database.

Unit cell a=12.3010 b=12.3010 c=15.2305 alpha=90.00 beta=90.00 gamma=120.00
Last column: nearest neighbours and their distance in Å.
Space group R-3 (No. 148, hexagonal axes)
Symmetry-distinct sites (fractional):
Sm1 0.0168 0.5751 0.2055 x18  3 Sm 3.22-3.50, 1 Er 3.52, 1 Th 3.52
Sm2 0.0568 0.4687 0.5894 x18  4 Sm 3.22-3.50, 2 Er 3.26-3.50
Er1 0.0000 0.0000 0.0000 x3  6 Sm 3.26
Er2 0.0442 0.8603 0.3048 x18  6 Sm 3.50-3.84, 3 Er 3.50-3.54, 1 Th 3.61
Th1 0.0000 0.0000 0.5000 x3  6 Sm 3.52, 6 Er 3.61

Summary:
For the formation energy, the calculation gives 232 meV per atom. Its density of states at the Fermi level is 107.38 states/eV/cell. For the volume, the calculation gives 1995.8 Å³ per cell. For the excess energy over the best structure of this formula in the dataset, the calculation gives 0.00 eV/f.u.

The following is a GGA-PBE calculation of a geometry-optimized Tc2SbAu structure, from the Alexandria database.

Unit cell a=3.0306 b=3.0306 c=25.9688 alpha=90.00 beta=90.00 gamma=120.00
Last column: nearest neighbours and their distance in Å.
Space group R-3m (No. 166, hexagonal axes)
Symmetry-distinct sites (fractional):
Tc1 0.0000 0.0000 0.2473 x6  3 Sb 2.73, 3 Au 2.84, 6 Tc 3.03
Sb1 0.0000 0.0000 0.5000 x3  6 Tc 2.73, 6 Sb 3.03
Au1 0.0000 0.0000 0.0000 x3  6 Tc 2.84, 6 Au 3.03

Summary:
Its density of states at the Fermi level is 11.13 states/eV/cell. The raw formation energy comes out at 455 meV/atom. For the volume, the calculation gives 206.6 Å³ per cell.

The following is a GGA-PBE calculation of a geometry-optimized PrSmPaO6 structure, from the Alexandria database.

Unit cell a=5.9993 b=5.9993 c=4.6870 alpha=90.00 beta=90.00 gamma=120.00
Last column: nearest neighbours and their distance in Å.
Space group P312 (No. 149)
Symmetry-distinct sites (fractional):
Pr1 0.0000 0.0000 0.0000 x1  6 O 2.40
Sm1 0.6667 0.3333 0.0000 x1  6 O 2.36
Pa1 0.3333 0.6667 0.5000 x1  6 O 2.20
O1 0.0202 0.3600 0.7505 x6  1 Pa 2.20, 1 Sm 2.36, 1 Pr 2.40

Summary:
Its density of states at the Fermi level is 9.67 states/eV/cell. The raw formation energy comes out at -3093 meV/atom. For the volume, the calculation gives 146.1 Å³ per cell.

The following is a GGA-PBE calculation of a geometry-optimized YLuNiRu structure, from the Alexandria database.

Unit cell a=6.7241 b=6.7241 c=6.7241 alpha=90.00 beta=90.00 gamma=90.00
Last column: nearest neighbours and their distance in Å.
Space group F-43m (No. 216)
Symmetry-distinct sites (fractional):
Y1 0.0000 0.0000 0.0000 x4  4 Ru 2.91, 4 Ni 2.91
Lu1 0.0000 0.0000 0.5000 x4  4 Ru 2.91, 4 Ni 2.91
Ni1 0.2500 0.2500 0.2500 x4  4 Y 2.91, 4 Lu 2.91
Ru1 0.2500 0.2500 0.7500 x4  4 Y 2.91, 4 Lu 2.91

Summary:
For the formation energy, the calculation gives -431 meV per atom. Its density of states at the Fermi level is 8.69 states/eV/cell. For the volume, the calculation gives 304.0 Å³ per cell.

The following is a GGA-PBE calculation of a geometry-optimized K2CaAuO4 structure, from the Alexandria database.

Unit cell a=6.2884 b=14.2112 c=21.4209 alpha=90.00 beta=90.00 gamma=90.00
Last column: nearest neighbours and their distance in Å.
Space group Fddd (No. 70, origin choice 2)
Symmetry-distinct sites (fractional):
K1 0.1250 0.1250 0.3163 x16  2 O 2.49
Ca1 0.1250 0.1250 0.1250 x8  4 O 2.22
Au1 0.1250 0.1250 0.6250 x8  4 O 2.01
O1 0.1023 0.2760 0.8751 x32  1 Au 2.01, 1 Ca 2.22

Summary:
Its density of states at the Fermi level is 65.91 states/eV/cell. The raw formation energy comes out at -1078 meV/atom. For the volume, the calculation gives 1914.3 Å³ per cell.

Q: Number 5 is which compound?
A: YLuNiRu

Q: Look up the density of states at the Fermi level of the fourth one.
A: 9.67 states/eV/cell

What did the third record say?
The following is a GGA-PBE calculation of a geometry-optimized Tc2SbAu structure, from the Alexandria database.

Unit cell a=3.0306 b=3.0306 c=25.9688 alpha=90.00 beta=90.00 gamma=120.00
Last column: nearest neighbours and their distance in Å.
Space group R-3m (No. 166, hexagonal axes)
Symmetry-distinct sites (fractional):
Tc1 0.0000 0.0000 0.2473 x6  3 Sb 2.73, 3 Au 2.84, 6 Tc 3.03
Sb1 0.0000 0.0000 0.5000 x3  6 Tc 2.73, 6 Sb 3.03
Au1 0.0000 0.0000 0.0000 x3  6 Tc 2.84, 6 Au 3.03

Summary:
Its density of states at the Fermi level is 11.13 states/eV/cell. The raw formation energy comes out at 455 meV/atom. For the volume, the calculation gives 206.6 Å³ per cell.